[1]
# LiHoCoSb GGA-PBE optimized geometry
data_LiHoCoSb
_chemical_formula_sum 'Li1 Ho1 Co1 Sb1'
_cell_length_a 4.568
_cell_length_b 4.568
_cell_length_c 4.568
_cell_angle_alpha 60.00
_cell_angle_beta 60.00
_cell_angle_gamma 60.00
_symmetry_space_group_name_H-M 'P 1'
_symmetry_Int_Tables_number 1
_symmetry_space_group_name_Hall 'P 1'
loop_
_atom_site_label
_atom_site_type_symbol
_atom_site_fract_x
_atom_site_fract_y
_atom_site_fract_z
Li1 Li 0.000 0.000 0.000
Ho1 Ho 0.750 0.750 0.750
Co1 Co 0.500 0.500 0.500
Sb1 Sb 0.250 0.250 0.250
# ΔE_f (raw): -0.52 eV/atom
# crystal system: cubic

[2]
# SiIBrN2 GGA-PBE optimized geometry
data_SiIBrN2
_chemical_formula_sum 'Si1 I1 Br1 N2'
_cell_length_a 3.767
_cell_length_b 3.767
_cell_length_c 6.694
_cell_angle_alpha 90.00
_cell_angle_beta 90.00
_cell_angle_gamma 90.00
_symmetry_space_group_name_H-M 'P 1'
_symmetry_Int_Tables_number 1
_symmetry_space_group_name_Hall 'P 1'
loop_
_atom_site_label
_atom_site_type_symbol
_atom_site_fract_x
_atom_site_fract_y
_atom_site_fract_z
Si1 Si 0.000 0.000 0.000
I1 I 0.000 0.000 0.500
Br1 Br 0.500 0.500 0.500
N1 N 0.000 0.500 0.000
N2 N 0.500 0.000 0.000
# ΔE_f (raw): 1.07 eV/atom
# crystal system: tetragonal

[3]
# Tc2AgBW GGA-PBE optimized geometry
data_Tc2AgBW
_chemical_formula_sum 'Tc2 Ag1 B1 W1'
_cell_length_a 4.817
_cell_length_b 4.817
_cell_length_c 4.864
_cell_angle_alpha 90.00
_cell_angle_beta 90.00
_cell_angle_gamma 90.00
_symmetry_space_group_name_H-M 'P 1'
_symmetry_Int_Tables_number 1
_symmetry_space_group_name_Hall 'P 1'
loop_
_atom_site_label
_atom_site_type_symbol
_atom_site_fract_x
_atom_site_fract_y
_atom_site_fract_z
Tc1 Tc 0.000 0.500 0.000
Tc2 Tc 0.500 0.000 0.000
Ag1 Ag 0.000 0.000 0.000
B1 B 0.500 0.500 0.500
W1 W 0.000 0.000 0.500
# energy of formation: 3.443 eV/atom
# crystal system: tetragonal

[4]
# NbAgPd5 GGA-PBE optimized geometry
data_NbAgPd5
_chemical_formula_sum 'Nb1 Ag1 Pd5'
_cell_length_a 3.969
_cell_length_b 3.969
_cell_length_c 7.621
_cell_angle_alpha 90.00
_cell_angle_beta 90.00
_cell_angle_gamma 90.00
_symmetry_space_group_name_H-M 'P 1'
_symmetry_Int_Tables_number 1
_symmetry_space_group_name_Hall 'P 1'
loop_
_atom_site_label
_atom_site_type_symbol
_atom_site_fract_x
_atom_site_fract_y
_atom_site_fract_z
Nb1 Nb 0.000 0.000 0.000
Ag1 Ag 0.500 0.500 0.500
Pd1 Pd 0.000 0.000 0.500
Pd2 Pd 0.000 0.500 0.226
Pd3 Pd 0.000 0.500 0.774
Pd4 Pd 0.500 0.000 0.226
Pd5 Pd 0.500 0.000 0.774
# energy of formation: -0.054 eV/atom
# crystal system: tetragonal

[5]
# TcPbAu2 GGA-PBE optimized geometry
data_TcPbAu2
_chemical_formula_sum 'Tc1 Pb1 Au2'
_cell_length_a 6.244
_cell_length_b 6.244
_cell_length_c 6.244
_cell_angle_alpha 151.76
_cell_angle_beta 135.98
_cell_angle_gamma 53.12
_symmetry_space_group_name_H-M 'P 1'
_symmetry_Int_Tables_number 1
_symmetry_space_group_name_Hall 'P 1'
loop_
_atom_site_label
_atom_site_type_symbol
_atom_site_fract_x
_atom_site_fract_y
_atom_site_fract_z
Tc1 Tc 0.000 0.000 0.000
Pb1 Pb 0.500 0.500 0.000
Au1 Au 0.213 0.713 0.500
Au2 Au 0.787 0.287 0.500
# energy of formation: 0.397 eV/atom
# crystal system: orthorhombic

[6]
# PrUTcC3 GGA-PBE optimized geometry
data_PrUTcC3
_chemical_formula_sum 'Pr2 U2 Tc2 C6'
_cell_length_a 7.308
_cell_length_b 3.644
_cell_length_c 7.908
_cell_angle_alpha 90.00
_cell_angle_beta 96.69
_cell_angle_gamma 90.00
_symmetry_space_group_name_H-M 'P 1'
_symmetry_Int_Tables_number 1
_symmetry_space_group_name_Hall 'P 1'
loop_
_atom_site_label
_atom_site_type_symbol
_atom_site_fract_x
_atom_site_fract_y
_atom_site_fract_z
Pr1 Pr 0.157 0.250 0.174
Pr2 Pr 0.843 0.750 0.826
U1 U 0.362 0.750 0.838
U2 U 0.638 0.250 0.162
Tc1 Tc 0.099 0.250 0.596
Tc2 Tc 0.901 0.750 0.404
C1 C 0.143 0.250 0.850
C2 C 0.167 0.750 0.526
C3 C 0.431 0.750 0.121
C4 C 0.569 0.250 0.879
C5 C 0.833 0.250 0.474
C6 C 0.857 0.750 0.150
# energy of formation: 0.083 eV/atom
# crystal system: monoclinic

[7]
# AlInI4 GGA-PBE optimized geometry
data_AlInI4
_chemical_formula_sum 'Al4 In4 I16'
_cell_length_a 7.544
_cell_length_b 11.877
_cell_length_c 12.677
_cell_angle_alpha 90.00
_cell_angle_beta 96.48
_cell_angle_gamma 90.00
_symmetry_space_group_name_H-M 'P 1'
_symmetry_Int_Tables_number 1
_symmetry_space_group_name_Hall 'P 1'
loop_
_atom_site_label
_atom_site_type_symbol
_atom_site_fract_x
_atom_site_fract_y
_atom_site_fract_z
Al1 Al 0.083 0.250 0.034
Al2 Al 0.260 0.250 0.562
Al3 Al 0.740 0.750 0.438
Al4 Al 0.917 0.750 0.966
In1 In 0.088 0.019 0.294
In2 In 0.088 0.481 0.294
In3 In 0.912 0.519 0.706
In4 In 0.912 0.981 0.706
I1 I 0.078 0.750 0.156
I2 I 0.082 0.750 0.480
I3 I 0.148 0.750 0.830
I4 I 0.275 0.073 0.065
I5 I 0.275 0.427 0.065
I6 I 0.364 0.071 0.663
I7 I 0.364 0.429 0.663
I8 I 0.383 0.250 0.379
I9 I 0.617 0.750 0.621
I10 I 0.636 0.571 0.337
I11 I 0.636 0.929 0.337
I12 I 0.725 0.573 0.935
I13 I 0.725 0.927 0.935
I14 I 0.852 0.250 0.170
I15 I 0.918 0.250 0.520
I16 I 0.922 0.250 0.844
# ΔE_f (raw): -0.62 eV/atom
# crystal system: monoclinic

[8]
# ReHg2As GGA-PBE optimized geometry
data_ReHg2As
_chemical_formula_sum 'Re1 Hg2 As1'
_cell_length_a 6.000
_cell_length_b 6.000
_cell_length_c 3.227
_cell_angle_alpha 103.58
_cell_angle_beta 103.58
_cell_angle_gamma 127.19
_symmetry_space_group_name_H-M 'P 1'
_symmetry_Int_Tables_number 1
_symmetry_space_group_name_Hall 'P 1'
loop_
_atom_site_label
_atom_site_type_symbol
_atom_site_fract_x
_atom_site_fract_y
_atom_site_fract_z
Re1 Re 0.000 0.000 0.000
Hg1 Hg 0.000 0.500 0.000
Hg2 Hg 0.500 0.000 0.000
As1 As 0.500 0.500 0.000
# energy of formation: 0.845 eV/atom
# crystal system: monoclinic

Number 1: total moment 0.00 μB/f.u., E_tot -19.82 eV for the cell shown. Number 2: total moment 0.00 μB/f.u., E_tot -19.96 eV for the cell shown. Number 3: total moment 1.74 μB/f.u., E_tot -26.00 eV for the cell shown. Number 4: total moment 0.00 μB/f.u., E_tot -39.27 eV for the cell shown. Number 5: total moment 0.00 μB/f.u., E_tot -19.04 eV for the cell shown. Number 6: total moment 0.00 μB/f.u., E_tot -107.22 eV for the cell shown. Number 7: total moment 0.00 μB/f.u., E_tot -65.71 eV for the cell shown. Number 8: total moment 0.59 μB/f.u., E_tot -14.32 eV for the cell shown.